Entry from the Alexandria database: crystalline VGaBr at its relaxed geometry (PBE).

Cell lengths 3.841, 3.689, 9.314 Å; angles 90.00, 90.00, 90.00 degrees
Fractional coordinates of all 6 atoms:
Ga 0.500 0.000 0.965
Ga 0.500 0.500 0.172
Br 0.000 0.500 0.730
Br 0.500 0.000 0.399
V 0.000 0.500 0.989
V 0.000 0.000 0.184

The uncorrected formation energy comes out at -0.216 eV/atom. As for the space group: Pmm2, No. 25.



Entry from the Alexandria database: crystalline VGa2Br at its relaxed geometry (PBE).

Cell lengths 4.973, 4.973, 4.973 Å; angles 60.00, 60.00, 60.00 degrees
Each line ends with the local moment (μB).
Fractional coordinates of all 4 atoms:
Br 0.500 0.500 0.500  0.07
Ga 0.250 0.250 0.250  0.02
Ga 0.750 0.750 0.750  0.02
V 0.000 0.000 0.000  2.82

The uncorrected formation energy comes out at 0.619 eV/atom. As for the space group: Fm-3m, No. 225.



Entry from the Alexandria database: crystalline VGaBr3 at its relaxed geometry (PBE).

Cell lengths 5.222, 5.222, 5.222 Å; angles 90.00, 90.00, 90.00 degrees
Each line ends with the local moment (μB).
Fractional coordinates of all 5 atoms:
Ga 0.500 0.500 0.500  0.01
Br 0.000 0.500 0.000  0.00
Br 0.000 0.000 0.500  0.00
Br 0.500 0.000 0.000  0.00
V 0.000 0.000 0.000  2.58

The uncorrected formation energy comes out at -0.526 eV/atom. As for the space group: Pm-3m, No. 221.



Q: What is the formula in the first record?
A: VGaBr